No. 1
A relaxed Li2FeRh crystal, computed with PBE.

Results
energy relative to the elements: 0.097 eV per atom
theoretical density: 5.3 Mg/m³
DOS at the Fermi energy: 2.42 states/eV per cell

a = 2.5681 Å, b = 4.1600 Å, c = 5.0245 Å
α = 90.00°, β = 90.00°, γ = 90.00°
Last column: nearest neighbours and their distance in Å.
Positions (direct):
1 Rh 0.5000 0.5000 0.2500  2 Fe 2.51, 2 Rh 2.57, 8 Li 2.73
2 Li 0.0000 0.0000 0.0096  4 Li 2.42-2.61
3 Li 0.0000 0.0000 0.4904  4 Li 2.42-2.61
4 Fe 0.5000 0.5000 0.7500  2 Rh 2.51, 2 Fe 2.57, 8 Li 2.77

---

No. 2
A relaxed NiTe2AsI crystal, computed with PBE.

Results
theoretical density: 6.6 Mg/m³
raw formation energy: 0.49 eV/atom
DOS at the Fermi energy: 4.72 states/eV per cell

a = 5.0517 Å, b = 5.0517 Å, c = 5.1210 Å
α = 90.00°, β = 90.00°, γ = 90.00°
Last column: nearest neighbours and their distance in Å.
Positions (direct):
1 Te 0.0000 0.5000 0.0000  2 Ni 2.53
2 Te 0.5000 0.0000 0.0000  2 Ni 2.53
3 I 0.0000 0.0000 0.5000  2 Ni 2.56
4 Ni 0.0000 0.0000 0.0000  4 Te 2.53, 2 I 2.56
5 As 0.5000 0.5000 0.5000  4 I 3.57, 8 Te 3.60

---

No. 3
A relaxed NpBiSe crystal, computed with PBE.

Results
theoretical density: 10.0 Mg/m³
raw formation energy: -0.46 eV/atom
DOS at the Fermi energy: 7.52 states/eV per cell

a = 3.4635 Å, b = 3.4635 Å, c = 7.6558 Å
α = 103.07°, β = 103.07°, γ = 90.00°
Last column: nearest neighbours and their distance in Å.
Positions (direct):
1 Bi 0.0152 0.0152 0.0304  4 Bi 3.46, 4 Np 3.53
2 Np 0.6908 0.6908 0.3817  4 Se 2.87
3 Se 0.2939 0.2939 0.5879  4 Np 2.87

---

No. 4
A relaxed Ba2AlCu crystal, computed with PBE.

Results
energy relative to the elements: -0.084 eV per atom
theoretical density: 4.3 Mg/m³
DOS at the Fermi energy: 2.54 states/eV per cell

a = 4.5618 Å, b = 5.3885 Å, c = 6.2795 Å
α = 64.65°, β = 90.00°, γ = 90.00°
Last column: nearest neighbours and their distance in Å.
Positions (direct):
1 Ba 0.5000 0.2740 0.3270  3 Al 3.43-3.55, 4 Cu 3.74
2 Ba 0.0000 0.9741 0.9270  3 Cu 3.46-3.50, 4 Al 3.75-3.76
3 Al 0.5000 0.5868 0.7023  2 Cu 2.45
4 Cu 0.0000 0.6651 0.5437  2 Al 2.45

---

No. 5
A relaxed Li2Tb2Co15 crystal, computed with PBE.

Results
energy relative to the elements: -0.073 eV per atom
theoretical density: 8.3 Mg/m³
DOS at the Fermi energy: 19.95 states/eV per cell

a = 6.2785 Å, b = 6.2785 Å, c = 6.2785 Å
α = 83.71°, β = 83.71°, γ = 83.71°
Last column: nearest neighbours and their distance in Å.
Positions (direct):
1 Co 0.7084 0.0000 0.2916  8 Co 2.36-2.54
2 Co 0.1564 0.6520 0.6520  8 Co 2.42-2.54, 1 Li 2.64
3 Co 0.2916 0.0000 0.7084  8 Co 2.36-2.54
4 Co 0.3480 0.8436 0.3480  8 Co 2.42-2.54, 1 Li 2.64
5 Co 0.0000 0.5000 0.0000  8 Co 2.36-2.43, 2 Li 2.56
6 Co 0.3480 0.3480 0.8436  8 Co 2.42-2.54, 1 Li 2.64
7 Co 0.6520 0.6520 0.1564  8 Co 2.42-2.54, 1 Li 2.64
8 Co 0.0000 0.7084 0.2916  8 Co 2.36-2.54
9 Co 0.0000 0.2916 0.7084  8 Co 2.36-2.54
10 Co 0.2916 0.7084 0.0000  8 Co 2.36-2.54
11 Co 0.6520 0.1564 0.6520  8 Co 2.42-2.54, 1 Li 2.64
12 Co 0.8436 0.3480 0.3480  8 Co 2.42-2.54, 1 Li 2.64
13 Co 0.5000 0.0000 0.0000  8 Co 2.36-2.43, 2 Li 2.56
14 Co 0.7084 0.2916 0.0000  8 Co 2.36-2.54
15 Co 0.0000 0.0000 0.5000  8 Co 2.36-2.43, 2 Li 2.56
16 Li 0.9036 0.9036 0.9036  1 Li 2.31, 3 Co 2.56
17 Li 0.0964 0.0964 0.0964  1 Li 2.31, 3 Co 2.56
18 Tb 0.3441 0.3441 0.3441  18 Co 2.95-3.22, 1 Li 2.97
19 Tb 0.6559 0.6559 0.6559  18 Co 2.95-3.22, 1 Li 2.97

---

No. 6
A relaxed Mg4Tl2CdPb2 crystal, computed with PBE.

Results
energy relative to the elements: -0.015 eV per atom
theoretical density: 7.4 Mg/m³
DOS at the Fermi energy: 4.45 states/eV per cell

a = 4.6345 Å, b = 7.4165 Å, c = 7.3947 Å
α = 104.74°, β = 108.26°, γ = 90.00°
Last column: nearest neighbours and their distance in Å.
Positions (direct):
1 Cd 0.0000 0.0000 0.0000  4 Tl 3.21, 6 Mg 3.29-3.42, 2 Pb 3.43
2 Pb 0.1132 0.6433 0.2264  7 Mg 3.15-3.34, 1 Pb 3.32, 1 Cd 3.43, 2 Tl 3.47
3 Pb 0.8868 0.3567 0.7736  7 Mg 3.15-3.34, 1 Pb 3.32, 1 Cd 3.43, 2 Tl 3.47
4 Tl 0.6594 0.0050 0.3187  5 Mg 3.13-3.32, 2 Cd 3.21, 2 Tl 3.46, 2 Pb 3.47
5 Tl 0.3406 0.9950 0.6813  5 Mg 3.13-3.32, 2 Cd 3.21, 2 Tl 3.46, 2 Pb 3.47
6 Mg 0.7757 0.6743 0.5514  3 Pb 3.15-3.22, 3 Tl 3.27-3.29, 5 Mg 3.34-3.48, 1 Cd 3.42
7 Mg 0.2243 0.3257 0.4486  3 Pb 3.15-3.22, 3 Tl 3.27-3.29, 5 Mg 3.34-3.48, 1 Cd 3.42
8 Mg 0.5533 0.3263 0.1065  2 Tl 3.13-3.32, 4 Pb 3.25-3.34, 2 Cd 3.29, 4 Mg 3.31-3.48
9 Mg 0.4467 0.6737 0.8935  2 Tl 3.13-3.32, 4 Pb 3.25-3.34, 2 Cd 3.29, 4 Mg 3.31-3.48

---

No. 7
A relaxed TiNb3V3 crystal, computed with PBE.

Results
energy relative to the elements: 0.164 eV per atom
theoretical density: 6.9 Mg/m³
DOS at the Fermi energy: 18.40 states/eV per cell

a = 7.5816 Å, b = 7.4160 Å, c = 7.0992 Å
α = 67.93°, β = 43.10°, γ = 57.79°
Last column: nearest neighbours and their distance in Å.
Positions (direct):
1 Ti 0.6703 0.6628 0.9989  6 Nb 2.72-2.84, 2 V 2.79-2.82
2 Ti 0.3297 0.3372 0.0011  6 Nb 2.72-2.84, 2 V 2.79-2.82
3 Nb 0.5780 0.2908 0.1896  3 V 2.62-2.78, 2 Ti 2.79-2.84, 1 Nb 2.91
4 Nb 0.4220 0.7092 0.8104  3 V 2.62-2.78, 2 Ti 2.79-2.84, 1 Nb 2.91
5 Nb 0.8589 0.7082 0.2000  3 V 2.53-2.82, 1 Ti 2.72
6 Nb 0.1411 0.2918 0.8000  3 V 2.53-2.82, 1 Ti 2.72
7 Nb 0.8368 0.9972 0.7932  4 V 2.58-2.83, 2 Ti 2.74-2.79
8 Nb 0.1632 0.0028 0.2068  4 V 2.58-2.83, 2 Ti 2.74-2.79
9 V 0.9315 0.3533 0.5771  3 V 2.44-2.57, 1 Nb 2.69
10 V 0.7164 0.3551 0.4212  2 V 2.36-2.55, 1 Nb 2.58
11 V 0.2836 0.6449 0.5788  2 V 2.36-2.55, 1 Nb 2.58
12 V 0.3731 0.0037 0.4113  4 Nb 2.53-2.83, 2 V 2.57-2.71
13 V 0.6269 0.9963 0.5887  4 Nb 2.53-2.83, 2 V 2.57-2.71
14 V 0.0685 0.6467 0.4229  3 V 2.44-2.57, 1 Nb 2.69

---

No. 8
A relaxed TaMn3Si crystal, computed with PBE.

Results
theoretical density: 6.2 Mg/m³
raw formation energy: 1.51 eV/atom
DOS at the Fermi energy: 6.37 states/eV per cell

a = 4.6529 Å, b = 4.6529 Å, c = 4.6529 Å
α = 90.00°, β = 90.00°, γ = 90.00°
Last column: nearest neighbours and their distance in Å.
Positions (direct):
1 Si 0.5000 0.5000 0.5000  12 Mn 3.29
2 Mn 0.0000 0.0000 0.5000  2 Ta 2.33
3 Mn 0.0000 0.5000 0.0000  2 Ta 2.33
4 Mn 0.5000 0.0000 0.0000  2 Ta 2.33
5 Ta 0.0000 0.0000 0.0000  6 Mn 2.33

---

No. 9
A relaxed Zn2CrPb crystal, computed with PBE.

Results
energy relative to the elements: 0.408 eV per atom
theoretical density: 8.4 Mg/m³
DOS at the Fermi energy: 1.84 states/eV per cell

a = 4.7854 Å, b = 4.7854 Å, c = 4.7854 Å
α = 60.00°, β = 60.00°, γ = 60.00°
Last column: nearest neighbours and their distance in Å.
Positions (direct):
1 Zn 0.2500 0.2500 0.2500  4 Cr 2.93, 4 Zn 2.93
2 Zn 0.0000 0.0000 0.0000  4 Zn 2.93, 4 Pb 2.93
3 Pb 0.7500 0.7500 0.7500  4 Cr 2.93, 4 Zn 2.93
4 Cr 0.5000 0.5000 0.5000  4 Pb 2.93, 4 Zn 2.93

---

No. 10
A relaxed YPuInOs crystal, computed with PBE.

Results
energy relative to the elements: -0.215 eV per atom
theoretical density: 11.4 Mg/m³
DOS at the Fermi energy: 6.41 states/eV per cell

a = 3.3055 Å, b = 3.3055 Å, c = 8.4917 Å
α = 90.00°, β = 90.00°, γ = 90.00°
Last column: nearest neighbours and their distance in Å.
Positions (direct):
1 Pu 0.5000 0.5000 0.3658  4 Os 2.90
2 In 0.0000 0.0000 0.0711  4 In 3.31, 4 Y 3.40, 4 Pu 3.42
3 Y 0.5000 0.5000 0.7797  4 Os 2.95
4 Os 0.0000 0.0000 0.5681  4 Pu 2.90, 4 Y 2.95

---

No. 11
A relaxed KPd2Au2 crystal, computed with PBE.

Results
energy relative to the elements: 0.025 eV per atom
theoretical density: 9.5 Mg/m³
DOS at the Fermi energy: 4.19 states/eV per cell

a = 4.4057 Å, b = 4.4057 Å, c = 12.0689 Å
α = 100.52°, β = 100.52°, γ = 90.00°
Last column: nearest neighbours and their distance in Å.
Positions (direct):
1 K 0.6238 0.6238 0.2477  8 Au 3.38-3.68, 8 Pd 3.39-3.63
2 K 0.3762 0.3762 0.7523  8 Au 3.38-3.68, 8 Pd 3.39-3.63
3 Au 0.7500 0.2500 0.5000  4 Pd 2.72
4 Au 0.2500 0.7500 0.5000  4 Pd 2.72
5 Au 0.0679 0.0679 0.1358  5 Pd 2.65-2.71
6 Au 0.9321 0.9321 0.8642  5 Pd 2.65-2.71
7 Pd 0.0000 0.5000 0.0000  4 Au 2.71
8 Pd 0.1815 0.1814 0.3629  5 Au 2.65-2.72
9 Pd 0.5000 0.0000 0.0000  4 Au 2.71
10 Pd 0.8185 0.8186 0.6371  5 Au 2.65-2.72

---

No. 12
A relaxed HfTi2AgC crystal, computed with PBE.

Results
energy relative to the elements: -0.368 eV per atom
theoretical density: 8.2 Mg/m³
DOS at the Fermi energy: 2.48 states/eV per cell

a = 4.2284 Å, b = 4.2284 Å, c = 4.4597 Å
α = 90.00°, β = 90.00°, γ = 90.00°
Last column: nearest neighbours and their distance in Å.
Positions (direct):
1 C 0.0000 0.0000 0.0000  4 Ti 2.11, 2 Hf 2.23
2 Ti 0.5000 0.0000 0.0000  2 C 2.11
3 Ti 0.0000 0.5000 0.0000  2 C 2.11
4 Ag 0.5000 0.5000 0.5000  4 Hf 2.99, 8 Ti 3.07
5 Hf 0.0000 0.0000 0.5000  2 C 2.23

---

Question: DOS at the Fermi energy of number 2 (NiTe2AsI)?
Answer: 4.72 states/eV per cell

---

Question: Look up the DOS at the Fermi energy of the fifth one.
Answer: 19.95 states/eV per cell

---

Question: Among the records above, which one has the highest DOS at the Fermi energy?
Answer: Li2Tb2Co15